VASP calculation (GGA-PBE) on crystalline Sr2BiAs at its relaxed geometry.

abc: 8.791 8.791 7.049
angles: 90.00 90.00 90.00
Space group I-42d (No. 122)
Unique sites:
Sr  0.215  0.250  0.125 [8 per cell]
Bi  0.000  0.000  0.500 [4 per cell]
As  0.000  0.000  0.000 [4 per cell]

Values from the calculation:
Final energy: -3.65 eV/atom
Fermi-level density of states: 2.2 states/eV per cell
V: 545 Å³ per cell
Calculated formation energy: -0.67 eV/atom
Magnetization: 0.00 μB per formula unit